Arrangement i

Entry from Alexandria via LeMat-Bulk: a geometry-optimized BaP2Se structure (PBE).

Unit cell a=6.3035 b=6.2762 c=4.3929 alpha=69.90 beta=69.23 gamma=40.88
Last column: nearest neighbours and their distance in Å.
Positions (direct):
1 Ba 0.0000 0.0000 0.0000  4 Se 3.08-3.13, 4 P 3.15
2 P 0.0000 0.5000 0.5000  4 P 3.08-3.13, 2 Se 3.15, 2 Ba 3.15
3 P 0.5000 0.0000 0.0000  4 P 3.08-3.13, 2 Se 3.15, 2 Ba 3.15
4 Se 0.5000 0.5000 0.5000  4 Ba 3.08-3.13, 4 P 3.15

Values from the calculation:
Space-group type: Fmmm (69)



Arrangement ii

Entry from Alexandria via LeMat-Bulk: a geometry-optimized BaP2Se structure (PBE).

Unit cell a=5.8604 b=5.8604 c=5.8604 alpha=135.75 beta=135.75 gamma=64.36
Last column: nearest neighbours and their distance in Å.
Positions (direct):
1 Ba 0.0000 0.0000 0.0000  8 P 3.12-3.32, 4 Se 3.32
2 P 0.2500 0.7500 0.5000  4 Se 3.12, 4 Ba 3.32, 4 P 3.32
3 P 0.5000 0.5000 0.0000  4 Ba 3.12, 4 Se 3.32, 4 P 3.32
4 Se 0.7500 0.2500 0.5000  8 P 3.12-3.32, 4 Ba 3.32

Values from the calculation:
Space-group type: I-4m2 (119)



Last place for stability: arrangement ii



Arrangement i

Entry from Alexandria via LeMat-Bulk: a geometry-optimized BaP2Se structure (PBE).

Unit cell a=3.9608 b=3.9608 c=7.0353 alpha=90.00 beta=90.00 gamma=90.00
Last column: nearest neighbours and their distance in Å.
Positions (direct):
1 Ba 0.0000 0.0000 0.0000  4 Se 3.10, 1 P 3.19
2 P 0.0000 0.0000 0.4538  4 P 2.81
3 P 0.5000 0.5000 0.4807  1 Se 2.32
4 Se 0.5000 0.5000 0.8106  1 P 2.32

Values from the calculation:
Space-group type: P4mm (99)



Arrangement ii

Entry from Alexandria via LeMat-Bulk: a geometry-optimized BaP2Se structure (PBE).

Unit cell a=4.4681 b=4.4681 c=4.7912 alpha=90.00 beta=90.00 gamma=90.00
Last column: nearest neighbours and their distance in Å.
Positions (direct):
1 Ba 0.0000 0.0000 0.0000  4 Se 3.16, 8 P 3.28
2 P 0.0000 0.5000 0.5000  4 P 3.16, 4 Ba 3.28, 4 Se 3.28
3 P 0.5000 0.0000 0.5000  4 P 3.16, 4 Ba 3.28, 4 Se 3.28
4 Se 0.5000 0.5000 0.0000  4 Ba 3.16, 8 P 3.28

Values from the calculation:
Space-group type: P4/mmm (123)



Last place for stability: arrangement ii



Arrangement i

Entry from Alexandria via LeMat-Bulk: a geometry-optimized BaP2Se structure (PBE).

Unit cell a=6.6221 b=6.6221 c=6.6221 alpha=109.02 beta=109.02 gamma=110.37
Last column: nearest neighbours and their distance in Å.
Positions (direct):
1 Ba 0.0000 0.0000 0.0000  8 P 3.36-3.65
2 Ba 0.7500 0.2500 0.5000  8 P 3.36-3.65
3 P 0.2118 0.1250 0.5868  2 Se 2.48
4 P 0.3750 0.7882 0.9132  2 Se 2.48
5 P 0.5382 0.6250 0.4132  2 Se 2.48
6 P 0.8750 0.4618 0.0868  2 Se 2.48
7 Se 0.2500 0.7500 0.5000  4 P 2.48
8 Se 0.5000 0.5000 0.0000  4 P 2.48

Values from the calculation:
Space-group type: I-42d (122)



Arrangement ii

Entry from Alexandria via LeMat-Bulk: a geometry-optimized BaP2Se structure (PBE).

Unit cell a=7.4432 b=7.4432 c=7.4432 alpha=32.10 beta=32.10 gamma=32.10
Last column: nearest neighbours and their distance in Å.
Positions (direct):
1 Ba 0.0000 0.0000 0.0000  6 P 3.23
2 P 0.2296 0.2296 0.2296  3 Se 2.72
3 P 0.7704 0.7704 0.7704  3 Se 2.72
4 Se 0.5000 0.5000 0.5000  6 P 2.72

Values from the calculation:
Space-group type: R-3m (166)



Arrangement iii

Entry from Alexandria via LeMat-Bulk: a geometry-optimized BaP2Se structure (PBE).

Unit cell a=5.2272 b=3.7295 c=6.4282 alpha=90.00 beta=113.38 gamma=90.00
Last column: nearest neighbours and their distance in Å.
Positions (direct):
1 Ba 0.0000 0.0000 0.0000  4 P 3.24-3.37, 4 Se 3.24-3.30
2 P 0.1611 0.0000 0.5627  2 P 2.33
3 P 0.4407 0.5000 0.7157  2 P 2.33, 1 Se 2.36
4 Se 0.5458 0.5000 0.1085  1 P 2.36

Values from the calculation:
Space-group type: Pm (6)



Arrangement iv

Entry from Alexandria via LeMat-Bulk: a geometry-optimized BaP2Se structure (PBE).

Unit cell a=6.2594 b=6.2594 c=5.1956 alpha=111.82 beta=111.82 gamma=39.12
Last column: nearest neighbours and their distance in Å.
Positions (direct):
1 Ba 0.0000 0.0000 0.0000  4 Se 3.34, 6 P 3.37-3.50
2 P 0.2908 0.2908 0.5549  2 P 2.28
3 P 0.7092 0.7092 0.4451  2 P 2.28
4 Se 0.5000 0.5000 0.5000  2 P 2.59

Values from the calculation:
Space-group type: C2/m (12)



Last place for stability: arrangement ii



Arrangement i

Entry from Alexandria via LeMat-Bulk: a geometry-optimized BaP2Se structure (PBE).

Unit cell a=5.1729 b=5.1729 c=5.1729 alpha=60.00 beta=60.00 gamma=60.00
Last column: nearest neighbours and their distance in Å.
Positions (direct):
1 Ba 0.0000 0.0000 0.0000  4 Se 3.17, 4 P 3.17
2 P 0.2500 0.2500 0.2500  4 Ba 3.17, 4 P 3.17
3 P 0.5000 0.5000 0.5000  4 Se 3.17, 4 P 3.17
4 Se 0.7500 0.7500 0.7500  4 Ba 3.17, 4 P 3.17

Values from the calculation:
Space-group type: F-43m (216)



Arrangement ii

Entry from Alexandria via LeMat-Bulk: a geometry-optimized BaP2Se structure (PBE).

Unit cell a=4.0003 b=4.0003 c=6.1738 alpha=90.00 beta=90.00 gamma=90.00
Last column: nearest neighbours and their distance in Å.
Positions (direct):
1 Ba 0.0000 0.0000 0.0000  2 Se 3.09
2 P 0.5000 0.5000 0.3267  1 P 2.14
3 P 0.5000 0.5000 0.6733  1 P 2.14
4 Se 0.0000 0.0000 0.5000  8 P 3.02, 2 Ba 3.09

Values from the calculation:
Space-group type: P4/mmm (123)



Arrangement iii

Entry from Alexandria via LeMat-Bulk: a geometry-optimized BaP2Se structure (PBE).

Unit cell a=4.6432 b=5.0263 c=4.9980 alpha=90.00 beta=93.31 gamma=90.00
Last column: nearest neighbours and their distance in Å.
Positions (direct):
1 Ba 0.0000 0.0000 0.0000  4 P 3.28, 4 Se 3.31-3.51
2 P 0.3976 0.5000 0.8155  1 P 2.03
3 P 0.6024 0.5000 0.1845  1 P 2.03
4 Se 0.5000 0.0000 0.5000  4 P 3.02, 2 Ba 3.31

Values from the calculation:
Space-group type: P2/m (10)



Last place for stability: arrangement i



Arrangement i

Entry from Alexandria via LeMat-Bulk: a geometry-optimized BaP2Se structure (PBE).

Unit cell a=5.6725 b=5.6725 c=5.6725 alpha=140.26 beta=121.94 gamma=72.66
Last column: nearest neighbours and their distance in Å.
Positions (direct):
1 Ba 0.0000 0.0000 0.0000  8 P 3.31-3.34, 4 Se 3.36
2 P 0.2980 0.7980 0.5000  2 Se 2.67
3 P 0.7020 0.2020 0.5000  2 Se 2.67
4 Se 0.5000 0.5000 0.0000  4 P 2.67

Values from the calculation:
Space-group type: Immm (71)



Arrangement ii

Entry from Alexandria via LeMat-Bulk: a geometry-optimized BaP2Se structure (PBE).

Unit cell a=5.1608 b=5.1608 c=5.1608 alpha=60.00 beta=60.00 gamma=60.00
Last column: nearest neighbours and their distance in Å.
Positions (direct):
1 Ba 0.0000 0.0000 0.0000  8 P 3.16
2 P 0.2500 0.2500 0.2500  4 Ba 3.16, 4 Se 3.16
3 P 0.7500 0.7500 0.7500  4 Ba 3.16, 4 Se 3.16
4 Se 0.5000 0.5000 0.5000  8 P 3.16

Values from the calculation:
Space-group type: Fm-3m (225)



Last place for stability: arrangement ii



Arrangement i

Entry from Alexandria via LeMat-Bulk: a geometry-optimized BaP2Se structure (PBE).

Unit cell a=5.6184 b=5.6184 c=5.9530 alpha=119.02 beta=119.02 gamma=37.11
Last column: nearest neighbours and their distance in Å.
Positions (direct):
1 Ba 0.0000 0.0000 0.0000  8 P 3.36-3.55, 4 Se 3.39-3.45, 2 Ba 3.58
2 P 0.4592 0.4592 0.4503  2 P 2.26
3 P 0.8091 0.8091 0.3403  2 P 2.26
4 Se 0.1845 0.1845 0.6743  2 P 2.73

Values from the calculation:
Space-group type: Cm (8)



Arrangement ii

Entry from Alexandria via LeMat-Bulk: a geometry-optimized BaP2Se structure (PBE).

Unit cell a=4.7605 b=4.7605 c=6.0579 alpha=90.00 beta=90.00 gamma=90.00
Last column: nearest neighbours and their distance in Å.
Positions (direct):
1 Ba 0.0000 0.0000 0.0000  2 Se 3.03
2 P 0.5000 0.5000 0.1655  1 P 2.00
3 P 0.5000 0.5000 0.8345  1 P 2.00
4 Se 0.0000 0.0000 0.5000  2 Ba 3.03

Values from the calculation:
Space-group type: P4/mmm (123)



Last place for stability: arrangement ii



Arrangement i

Entry from Alexandria via LeMat-Bulk: a geometry-optimized BaPSe structure (PBE).

Unit cell a=5.1158 b=5.1158 c=5.1158 alpha=60.00 beta=60.00 gamma=60.00
Last column: nearest neighbours and their distance in Å.
Positions (direct):
1 Ba 0.0000 0.0000 0.0000  4 P 3.13
2 P 0.2500 0.2500 0.2500  4 Se 3.13, 4 Ba 3.13
3 Se 0.5000 0.5000 0.5000  4 P 3.13

Values from the calculation:
Space-group type: F-43m (216)



Arrangement ii

Entry from Alexandria via LeMat-Bulk: a geometry-optimized BaPSe structure (PBE).

Unit cell a=5.3910 b=5.3910 c=5.3910 alpha=60.00 beta=60.00 gamma=60.00
Last column: nearest neighbours and their distance in Å.
Positions (direct):
1 Ba 0.0000 0.0000 0.0000  4 Se 3.30, 4 P 3.30
2 P 0.2500 0.2500 0.2500  4 Ba 3.30
3 Se 0.7500 0.7500 0.7500  4 Ba 3.30

Values from the calculation:
Space-group type: F-43m (216)



Last place for stability: arrangement ii



Arrangement i

Entry from Alexandria via LeMat-Bulk: a geometry-optimized Ba2SiP structure (PBE).

Unit cell a=3.8297 b=5.4802 c=6.6792 alpha=90.00 beta=90.00 gamma=90.00
Last column: nearest neighbours and their distance in Å.
Positions (direct):
1 Ba 0.0000 0.0000 0.0000  2 P 3.34, 4 Si 3.34
2 Ba 0.5000 0.5000 0.4994  2 Si 3.34, 4 P 3.34
3 Si 0.5000 0.5000 0.9991  6 Ba 3.34
4 P 0.0000 0.0000 0.5003  6 Ba 3.34

Values from the calculation:
Space-group type: Pmm2 (25)



Arrangement ii

Entry from Alexandria via LeMat-Bulk: a geometry-optimized Ba2SiP structure (PBE).

Unit cell a=3.7652 b=3.7652 c=8.7891 alpha=90.08 beta=90.08 gamma=90.08
Last column: nearest neighbours and their distance in Å.
Positions (direct):
1 Ba 0.0009 0.0009 0.2691  4 P 3.34-3.35, 4 Si 3.56
2 Ba 0.9991 0.9991 0.7309  4 P 3.34-3.35, 4 Si 3.56
3 Si 0.5000 0.5000 0.0000  8 Ba 3.56, 4 Si 3.77
4 P 0.5000 0.5000 0.5000  8 Ba 3.34-3.35

Values from the calculation:
Space-group type: C2/m (12)



Arrangement iii

Entry from Alexandria via LeMat-Bulk: a geometry-optimized Ba2SiP structure (PBE).

Unit cell a=6.8611 b=6.8611 c=6.8611 alpha=145.26 beta=138.29 gamma=55.37
Last column: nearest neighbours and their distance in Å.
Positions (direct):
1 Ba 0.0000 0.0000 0.0000  4 Si 3.33, 2 P 3.35, 2 Ba 3.71
2 Ba 0.7302 0.2302 0.5000  4 P 3.34, 2 Si 3.37, 2 Ba 3.71
3 Si 0.4212 0.4212 0.0000  2 P 2.45
4 P 0.3112 0.8112 0.5000  2 Si 2.45

Values from the calculation:
Space-group type: Imm2 (44)



Last place for stability: arrangement i



Arrangement i

Entry from Alexandria via LeMat-Bulk: a geometry-optimized Ba2SiP structure (PBE).

Unit cell a=5.5029 b=5.5029 c=5.5029 alpha=60.00 beta=60.00 gamma=60.00
Last column: nearest neighbours and their distance in Å.
Positions (direct):
1 Ba 0.0000 0.0000 0.0000  4 P 3.37, 4 Ba 3.37
2 Ba 0.2500 0.2500 0.2500  4 Si 3.37, 4 Ba 3.37
3 Si 0.5000 0.5000 0.5000  4 P 3.37, 4 Ba 3.37
4 P 0.7500 0.7500 0.7500  4 Si 3.37, 4 Ba 3.37

Values from the calculation:
Space-group type: F-43m (216)



Arrangement ii

Entry from Alexandria via LeMat-Bulk: a geometry-optimized Ba2SiP structure (PBE).

Unit cell a=4.4321 b=6.3011 c=6.3011 alpha=45.61 beta=90.00 gamma=90.00
Last column: nearest neighbours and their distance in Å.
Positions (direct):
1 Ba 0.0000 0.0000 0.0000  3 P 3.31-3.57, 4 Si 3.47
2 Ba 0.5000 0.2806 0.2806  3 Si 3.28-3.62, 4 P 3.45
3 Si 0.5000 0.5919 0.5919  2 P 2.51
4 P 0.0000 0.6930 0.6930  2 Si 2.51

Values from the calculation:
Space-group type: Amm2 (38)



Arrangement iii

Entry from Alexandria via LeMat-Bulk: a geometry-optimized Ba2SiP structure (PBE).

Unit cell a=8.7237 b=8.7237 c=8.7237 alpha=30.50 beta=30.50 gamma=30.50
Last column: nearest neighbours and their distance in Å.
Positions (direct):
1 Ba 0.2386 0.2386 0.2386  3 P 3.20, 3 Si 3.55
2 Ba 0.7614 0.7614 0.7614  3 P 3.20, 3 Si 3.55
3 Si 0.0000 0.0000 0.0000  6 Ba 3.55
4 P 0.5000 0.5000 0.5000  6 Ba 3.20

Values from the calculation:
Space-group type: R-3m (166)



Arrangement iv

Entry from Alexandria via LeMat-Bulk: a geometry-optimized Ba2SiP structure (PBE).

Unit cell a=6.2615 b=6.2615 c=5.1490 alpha=99.05 beta=99.05 gamma=41.03
Last column: nearest neighbours and their distance in Å.
Positions (direct):
1 Ba 0.0000 0.0000 0.0000  4 Si 3.32-3.56, 3 P 3.36-3.43, 1 Ba 3.51
2 Ba 0.7359 0.7359 0.5629  4 P 3.30-3.59, 3 Si 3.35-3.43, 1 Ba 3.51
3 Si 0.4461 0.4461 0.4476  1 P 2.26
4 P 0.2904 0.2904 0.1215  1 Si 2.26

Values from the calculation:
Space-group type: Cm (8)



Last place for stability: arrangement i



Arrangement i

Entry from Alexandria via LeMat-Bulk: a geometry-optimized Ba2SiP structure (PBE).

Unit cell a=5.6041 b=5.6041 c=3.9883 alpha=90.00 beta=90.00 gamma=102.13
Last column: nearest neighbours and their distance in Å.
Positions (direct):
1 Ba 0.0000 0.5000 0.0000  4 Si 3.44, 4 P 3.44, 2 Ba 3.52
2 Ba 0.5000 0.0000 0.0000  4 Si 3.44, 4 P 3.44, 2 Ba 3.52
3 Si 0.0000 0.0000 0.5000  8 Ba 3.44, 2 P 3.52
4 P 0.5000 0.5000 0.5000  8 Ba 3.44, 2 Si 3.52

Values from the calculation:
Space-group type: Cmmm (65)



Arrangement ii

Entry from Alexandria via LeMat-Bulk: a geometry-optimized Ba2SiP structure (PBE).

Unit cell a=5.8104 b=5.8104 c=5.8104 alpha=126.35 beta=126.35 gamma=79.32
Last column: nearest neighbours and their distance in Å.
Positions (direct):
1 Ba 0.2500 0.7500 0.5000  4 Si 3.45, 4 P 3.45, 4 Ba 3.71
2 Ba 0.7500 0.2500 0.5000  4 Si 3.45, 4 P 3.45, 4 Ba 3.71
3 Si 0.0000 0.0000 0.0000  8 Ba 3.45, 4 P 3.71
4 P 0.5000 0.5000 0.0000  8 Ba 3.45, 4 Si 3.71

Values from the calculation:
Space-group type: I4/mmm (139)



Last place for stability: arrangement ii



Arrangement i

Entry from Alexandria via LeMat-Bulk: a geometry-optimized Ba2SiP structure (PBE).

Unit cell a=7.1636 b=7.1636 c=7.1636 alpha=104.12 beta=104.12 gamma=120.81
Last column: nearest neighbours and their distance in Å.
Positions (direct):
1 Ba 0.1000 0.6250 0.9750  2 P 3.09, 2 Si 3.39
2 Ba 0.3750 0.3500 0.4750  2 P 3.09, 2 Si 3.39
3 Ba 0.6500 0.1250 0.0250  2 P 3.09, 2 Si 3.39
4 Ba 0.8750 0.9000 0.5250  2 P 3.09, 2 Si 3.39
5 Si 0.2500 0.7500 0.5000  4 Ba 3.39, 2 P 3.54
6 Si 0.5000 0.5000 0.0000  4 Ba 3.39, 2 P 3.54
7 P 0.0000 0.0000 0.0000  4 Ba 3.09
8 P 0.7500 0.2500 0.5000  4 Ba 3.09

Values from the calculation:
Space-group type: I-42d (122)



Arrangement ii

Entry from Alexandria via LeMat-Bulk: a geometry-optimized Ba2SiP structure (PBE).

Unit cell a=5.6288 b=5.6288 c=5.6288 alpha=60.00 beta=60.00 gamma=60.00
Last column: nearest neighbours and their distance in Å.
Positions (direct):
1 Ba 0.2500 0.2500 0.2500  4 P 3.45, 4 Si 3.45
2 Ba 0.7500 0.7500 0.7500  4 P 3.45, 4 Si 3.45
3 Si 0.0000 0.0000 0.0000  8 Ba 3.45
4 P 0.5000 0.5000 0.5000  8 Ba 3.45

Values from the calculation:
Space-group type: Fm-3m (225)



Last place for stability: arrangement i



Arrangement i

Entry from Alexandria via LeMat-Bulk: a geometry-optimized BaSiP3 structure (PBE).

Unit cell a=4.7748 b=4.7748 c=4.7748 alpha=90.00 beta=90.00 gamma=90.00
Last column: nearest neighbours and their distance in Å.
Positions (direct):
1 Ba 0.0000 0.0000 0.0000  12 P 3.38
2 Si 0.5000 0.5000 0.5000  6 P 2.39
3 P 0.0000 0.5000 0.5000  2 Si 2.39
4 P 0.5000 0.0000 0.5000  2 Si 2.39
5 P 0.5000 0.5000 0.0000  2 Si 2.39

Values from the calculation:
Space-group type: Pm-3m (221)



Arrangement ii

Entry from Alexandria via LeMat-Bulk: a geometry-optimized BaSiP3 structure (PBE).

Unit cell a=5.5616 b=5.5616 c=5.5616 alpha=90.00 beta=90.00 gamma=90.00
Last column: nearest neighbours and their distance in Å.
Positions (direct):
1 Ba 0.0000 0.0000 0.0000  6 P 2.78
2 Si 0.5000 0.5000 0.5000  12 P 3.93
3 P 0.0000 0.0000 0.5000  2 Ba 2.78
4 P 0.0000 0.5000 0.0000  2 Ba 2.78
5 P 0.5000 0.0000 0.0000  2 Ba 2.78

Values from the calculation:
Space-group type: Pm-3m (221)



Last place for stability: arrangement ii